Entry i
Here is crystalline CaZr2Tl at its relaxed geometry from Alexandria via LeMat-Bulk. Energies are from PBE-GGA.

a b c (Å): 8.5366 8.5366 6.7365
angles (deg): 50.68 50.68 90.00
Sites, in units of the cell vectors:
Zr 0.3750 0.3464 0.7500
Ca 0.2500 0.7500 0.5000
Zr 0.6536 0.1250 0.2500
Zr 0.8750 0.9036 0.7500
Tl 0.0000 0.0000 0.0000
Ca 0.5000 0.5000 0.0000
Zr 0.0964 0.6250 0.2500
Tl 0.7500 0.2500 0.5000

***

Entry ii
Here is crystalline CaZr2Tl at its relaxed geometry from Alexandria via LeMat-Bulk. Energies are from PBE-GGA.

a b c (Å): 10.7448 10.7448 10.7448
angles (deg): 18.24 18.24 18.24
Sites, in units of the cell vectors:
Tl 0.7463 0.7463 0.7463
Zr 0.9990 0.9990 0.9990
Ca 0.4976 0.4976 0.4976
Zr 0.2572 0.2572 0.2572

***

The most stable of them is entry ii.

***

Entry i
Here is crystalline LaRe at its relaxed geometry from Alexandria via LeMat-Bulk. Energies are from PBE-GGA.

a b c (Å): 3.3518 5.1217 4.8844
angles (deg): 90.00 90.00 90.00
Sites, in units of the cell vectors:
Re 0.0000 0.5000 0.4167
Re 0.5000 0.0000 0.4167
La 0.5000 0.5000 0.9168
La 0.0000 0.0000 0.9166

***

Entry ii
Here is crystalline LaRe at its relaxed geometry from Alexandria via LeMat-Bulk. Energies are from PBE-GGA.

a b c (Å): 3.0886 3.0886 16.1568
angles (deg): 90.00 90.00 120.00
Sites, in units of the cell vectors:
La 0.6667 0.3333 0.0000
Re 0.0000 0.0000 0.5000
Re 0.6667 0.3333 0.3788
Re 0.6667 0.3333 0.6212
La 0.0000 0.0000 0.2151
La 0.0000 0.0000 0.7849

***

The most stable of them is entry ii.

***

Entry i
Here is crystalline CoRu2Cl at its relaxed geometry from Alexandria via LeMat-Bulk. Energies are from PBE-GGA.

a b c (Å): 2.7765 4.7001 4.3650
angles (deg): 90.00 90.00 90.00
Sites, in units of the cell vectors:
Ru 0.5000 0.5000 0.0000
Cl 0.5000 0.0000 0.5000
Co 0.0000 0.5000 0.5000
Ru 0.0000 0.0000 0.0000

***

Entry ii
Here is crystalline CoRu2Cl at its relaxed geometry from Alexandria via LeMat-Bulk. Energies are from PBE-GGA.

a b c (Å): 2.8142 2.8142 8.4529
angles (deg): 90.00 90.00 120.58
Sites, in units of the cell vectors:
Ru 0.0000 0.0000 0.9947
Co 0.5000 0.5000 0.7500
Ru 0.0000 0.0000 0.5053
Cl 0.5000 0.5000 0.2500

***

The most stable of them is entry ii.